LiTaHgPd | PBE-GGA | relaxed

Values from the calculation:
VASP energy: -77.1 eV per cell
total magnetic moment: 0.000 μB/atom
ΔE to the lowest computed polymorph: 0 meV/atom
crystal system: cubic

Unit cell a=6.370 b=6.370 c=6.370 alpha=90.00 beta=90.00 gamma=90.00
Space group F-43m (No. 216)
Unique sites:
Li: 0.000 0.000 0.000
Ta: 0.250 0.250 0.750
Hg: 0.250 0.250 0.250
Pd: 0.000 0.000 0.500